Entry 1:
The following is a PBEsol calculation of a relaxed structure of Ta2ZnNi, from Alexandria.

extended XYZ file:
```
4
Lattice="2.788 0.025 0.000 -0.026 2.788 0.000 0.000 0.000 7.581" Properties=species:S:1:pos:R:3 pbc="T T T"
Ni 1.381 1.407 2.026
Ta 0.000 0.000 0.260
Ta 1.381 1.407 5.549
Zn 0.000 0.000 3.535
```

calculated density = 13.69 g/cm³
symmetry = No. 99

=====

Entry 2:
The following is a PBEsol calculation of a relaxed structure of TaZn2Ni, from Alexandria.

extended XYZ file:
```
4
Lattice="-2.608 -0.055 -1.160 -0.792 -2.003 1.876 -1.994 4.776 4.259" Properties=species:S:1:pos:R:3 pbc="T T T"
Ni -0.959 2.297 2.048
Zn -0.039 0.094 0.084
Zn -2.234 0.251 1.499
Ta -3.158 2.464 3.472
```

calculated density = 11.26 g/cm³
symmetry = No. 99
relative energy among the computed polymorphs = 0.00 eV/f.u.

=====

Entry 3:
The following is a PBEsol calculation of a relaxed structure of TaZn2Ni, from Alexandria.

extended XYZ file:
```
4
Lattice="-1.607 1.002 -1.879 0.902 -4.268 -1.152 -3.870 -0.774 2.896" Properties=species:S:1:pos:R:3 pbc="T T T"
Ni -2.673 0.066 0.426
Ta -1.839 -1.639 -1.195
Zn -4.456 -3.970 -0.200
Zn -2.921 -2.422 1.206
```

calculated density = 11.09 g/cm³
symmetry = No. 8
relative energy among the computed polymorphs = 0.51 eV/f.u.

=====

Entry 4:
The following is a PBEsol calculation of a relaxed structure of TaZnNi2, from Alexandria.

extended XYZ file:
```
4
Lattice="2.664 0.000 -0.021 0.000 4.129 0.000 -0.973 0.000 4.693" Properties=species:S:1:pos:R:3 pbc="T T T"
Ni 1.308 0.000 4.537
Ni 2.202 2.065 1.237
Ta 0.890 0.000 2.124
Zn -0.174 2.065 3.781
```

calculated density = 11.72 g/cm³
symmetry = No. 6

=====

Entry 5:
The following is a PBEsol calculation of a relaxed structure of TaZnNi2, from Alexandria.

extended XYZ file:
```
4
Lattice="2.693 0.000 0.000 -1.346 4.142 -0.007 0.000 -0.834 4.647" Properties=species:S:1:pos:R:3 pbc="T T T"
Ni 1.346 1.407 3.465
Ni 0.000 1.901 1.175
Ta 1.346 0.000 0.000
Zn 0.000 -0.417 2.323
```

calculated density = 11.66 g/cm³
symmetry = No. 12

=====

Entry 6:
The following is a PBEsol calculation of a relaxed structure of Ta2ZnNi, from Alexandria.

extended XYZ file:
```
4
Lattice="-0.103 -2.983 2.251 3.719 -0.306 -0.236 -1.386 4.177 2.367" Properties=species:S:1:pos:R:3 pbc="T T T"
Ni 2.070 1.113 1.570
Ta 0.000 0.000 0.000
Ta 0.160 -0.226 2.813
Zn 1.808 -1.645 1.008
```

calculated density = 13.61 g/cm³
symmetry = No. 119

=====

| no. | total magnetization (Bohr magnetons per cell) | E (eV/atom) | energy of formation from the pure elements (eV/atom) |
| --- | --- | --- | --- |
| 1 | 0.00 | -8.32 | -0.107 |
| 2 | 0.00 | -5.60 | -0.133 |
| 3 | 0.00 | -5.47 | -0.006 |
| 4 | 0.00 | -6.75 | -0.141 |
| 5 | 0.00 | -6.69 | -0.078 |
| 6 | 0.00 | -8.16 | 0.054 |